# 1
Entry from Alexandria via LeMat-Bulk: an optimized crystal structure of GaAg2S2 (GGA-PBEsol).

- uncorrected formation energy (eV per atom) = 0.080
- DOS at the Fermi energy (states/eV/f.u.) = 3.1
- crystal system = tetragonal
- energy (eV/atom) = -3.666
- total magnetic moment (μB/atom) = 0.00

Unit cell a=6.524 b=6.524 c=6.524 alpha=143.53 beta=143.53 gamma=52.53
Sites, in units of the cell vectors:
Ga 0.000 0.000 0.000
Ag 0.250 0.750 0.500
Ag 0.750 0.250 0.500
S 0.383 0.383 0.000
S 0.617 0.617 0.000

---

# 2
Entry from Alexandria via LeMat-Bulk: an optimized crystal structure of GaAgS2 (GGA-PBEsol).

- uncorrected formation energy (eV per atom) = -0.518
- crystal system = tetragonal
- energy (eV/atom) = -4.373
- total magnetic moment (μB/atom) = 0.00

Unit cell a=6.584 b=6.584 c=6.584 alpha=129.23 beta=129.23 gamma=74.65
Sites, in units of the cell vectors:
Ga 0.000 0.000 0.000
Ga 0.750 0.250 0.500
Ag 0.250 0.750 0.500
Ag 0.500 0.500 0.000
S 0.093 0.625 0.968
S 0.375 0.343 0.468
S 0.657 0.125 0.032
S 0.875 0.907 0.532